No. 1
A relaxed structure of Na2BeGaRe, computed with GGA-PBEsol.

Results
total moment	1.2	μB/f.u.
uncorrected energy	-3.17	eV/atom
space-group type	P4/mmm (123)
ΔE_f	147	kJ per mole of atoms

extended XYZ file:
```
5
Lattice="4.922 0.000 0.000 0.000 4.922 0.000 0.000 0.000 4.747" Properties=species:S:1:pos:R:3 pbc="T T T"
Na 0.000 2.461 0.000
Na 2.461 0.000 0.000
Be 0.000 0.000 2.374
Ga 2.461 2.461 0.000
Re 2.461 2.461 2.374
```

=====

No. 2
A relaxed structure of MnNiCl2, computed with GGA-PBEsol.

Results
total moment	5.0	μB/f.u.
uncorrected energy	-4.80	eV/atom
space-group type	P4/mmm (123)
ΔE_f (raw)	0.180	eV/atom
polymorph energy (0 for the lowest one)	0.412	eV per atom

extended XYZ file:
```
4
Lattice="3.077 0.000 0.000 0.000 3.077 0.000 0.000 0.000 6.152" Properties=species:S:1:pos:R:3 pbc="T T T"
Mn 0.000 0.000 0.000
Ni 0.000 0.000 3.076
Cl 1.539 1.539 1.533
Cl 1.539 1.539 4.619
```

=====

No. 3
A relaxed structure of Li2LaMoAu, computed with GGA-PBEsol.

Results
total moment	3.1	μB/f.u.
uncorrected energy	-4.30	eV/atom
space-group type	P4/mmm (123)
ΔE_f	67	kJ per mole of atoms

extended XYZ file:
```
5
Lattice="4.625 0.000 0.000 0.000 4.625 0.000 0.000 0.000 5.684" Properties=species:S:1:pos:R:3 pbc="T T T"
Li 0.000 2.313 0.000
Li 2.313 0.000 0.000
La 0.000 0.000 2.842
Mo 2.313 2.313 2.842
Au 0.000 0.000 0.000
```

=====

No. 4
A relaxed structure of MgCdPb2, computed with GGA-PBEsol.

Results
total moment	0.0	μB/f.u.
uncorrected energy	-2.71	eV/atom
space-group type	R-3m (166)
ΔE_f	1	kJ per mole of atoms
polymorph energy (0 for the lowest one)	0.041	eV per atom

extended XYZ file:
```
4
Lattice="1.754 1.013 9.838 -1.754 1.013 9.838 0.000 -2.026 9.838" Properties=species:S:1:pos:R:3 pbc="T T T"
Mg 0.000 0.000 0.000
Cd 0.000 0.000 14.757
Pb 0.000 0.000 7.371
Pb 0.000 0.000 22.143
```